1.
Sc2AlTl PBEsol relaxed; energy of formation from the pure elements = -0.383 eV/atom
1.0
3.161 0.000 0.000
0.000 4.150 0.000
0.000 0.000 6.231
Sc Al Tl
2 1 1
direct
0.000 0.000 0.240 Sc
0.000 0.000 0.760 Sc
0.500 0.500 0.000 Al
0.500 0.500 0.500 Tl

---

2.
Sc4AlTl PBEsol relaxed; energy of formation from the pure elements = 0.169 eV/atom
1.0
0.000 4.050 4.050
4.050 0.000 4.050
4.050 4.050 0.000
Sc Al Tl
4 1 1
direct
0.124 0.124 0.124 Sc
0.124 0.124 0.627 Sc
0.124 0.627 0.124 Sc
0.627 0.124 0.124 Sc
0.750 0.750 0.750 Al
0.500 0.500 0.500 Tl

---

3.
Sc2AlTl PBEsol relaxed; energy of formation from the pure elements = -0.390 eV/atom
1.0
3.179 0.000 0.000
0.000 3.179 0.000
0.000 0.000 8.126
Sc Al Tl
2 1 1
direct
0.000 0.000 0.236 Sc
0.000 0.000 0.764 Sc
0.500 0.500 0.000 Al
0.500 0.500 0.500 Tl

---

4.
ScAl2Tl PBEsol relaxed; energy of formation from the pure elements = 0.026 eV/atom
1.0
1.592 0.919 9.622
-1.592 0.919 9.622
0.000 -1.838 9.622
Sc Al Tl
1 2 1
direct
0.000 0.000 0.000 Sc
0.254 0.254 0.254 Al
0.746 0.746 0.746 Al
0.500 0.500 0.500 Tl

---

5.
ScAlW3 PBEsol relaxed; energy of formation from the pure elements = 1.569 eV/atom
1.0
4.557 0.000 0.000
0.000 4.557 0.000
0.000 0.000 4.557
Sc Al W
1 1 3
direct
0.000 0.000 0.000 Sc
0.500 0.500 0.500 Al
0.000 0.500 0.500 W
0.500 0.000 0.500 W
0.500 0.500 0.000 W

---

6.
Sc2AlW PBEsol relaxed; energy of formation from the pure elements = 0.041 eV/atom
1.0
2.962 -4.301 0.000
2.962 4.301 0.000
0.000 0.000 2.846
Sc Al W
2 1 1
direct
0.000 0.500 0.000 Sc
0.500 0.000 0.000 Sc
0.000 0.000 0.500 Al
0.500 0.500 0.500 W

---

7.
Sc2AlW PBEsol relaxed; energy of formation from the pure elements = 0.074 eV/atom
1.0
2.918 0.000 0.000
0.000 4.111 0.000
0.000 0.000 6.050
Sc Al W
2 1 1
direct
0.000 0.000 0.000 Sc
0.500 0.500 0.285 Sc
0.500 0.500 0.747 Al
0.000 0.000 0.529 W

---

8.
Sc2AlW PBEsol relaxed; energy of formation from the pure elements = 0.116 eV/atom
1.0
4.809 -1.473 0.000
4.809 1.473 0.000
-0.907 0.000 5.094
Sc Al W
2 1 1
direct
0.250 0.250 0.249 Sc
0.750 0.750 0.751 Sc
0.000 0.000 0.500 Al
0.500 0.500 0.000 W

---

9.
YScAl PBEsol relaxed; energy of formation from the pure elements = -0.273 eV/atom
1.0
-1.642 1.642 6.418
1.642 -1.642 6.418
1.642 1.642 -6.418
Y Sc Al
1 1 1
direct
0.000 0.000 0.000 Y
0.697 0.697 0.000 Sc
0.338 0.338 0.000 Al

---

10.
YSc2Al PBEsol relaxed; energy of formation from the pure elements = -0.133 eV/atom
1.0
0.000 3.562 3.562
3.562 0.000 3.562
3.562 3.562 0.000
Y Sc Al
1 2 1
direct
0.000 0.000 0.000 Y
0.500 0.500 0.500 Sc
0.750 0.750 0.750 Sc
0.250 0.250 0.250 Al

---

11.
YSc2Al PBEsol relaxed; energy of formation from the pure elements = -0.194 eV/atom
1.0
-1.803 2.435 5.254
1.803 -2.435 5.254
1.803 2.435 -5.254
Y Sc Al
1 2 1
direct
0.000 0.000 0.000 Y
0.279 0.779 0.500 Sc
0.557 0.557 0.000 Sc
0.768 0.268 0.500 Al

---

12.
YSc2Al2 PBEsol relaxed; energy of formation from the pure elements = -0.333 eV/atom
1.0
8.015 0.000 0.000
0.000 8.015 0.000
0.000 0.000 3.397
Y Sc Al
2 4 4
direct
0.000 0.000 0.000 Y
0.500 0.500 0.000 Y
0.176 0.324 0.500 Sc
0.324 0.824 0.500 Sc
0.676 0.176 0.500 Sc
0.824 0.676 0.500 Sc
0.120 0.620 0.000 Al
0.380 0.120 0.000 Al
0.620 0.880 0.000 Al
0.880 0.380 0.000 Al